No. 1
# TmFe2SiGe2 | Alexandria via LeMat-Bulk | PBE | relaxed
# Final energy: -37.0 eV per cell
# Calculated volume: 16.33 Å³ per atom
# Total magnetic moment: 2.28 μB/cell
# ΔE_f (raw): -163 meV/atom
data_TmFe2SiGe2
_cell_length_a 4.255
_cell_length_b 4.255
_cell_length_c 5.410
_cell_angle_alpha 90.00
_cell_angle_beta 90.00
_cell_angle_gamma 90.00
_space_group_name_H-M_alt 'P 1'
_space_group_IT_number 1
_space_group_name_Hall 'P 1'
loop_
_atom_site_label
_atom_site_type_symbol
_atom_site_fract_x
_atom_site_fract_y
_atom_site_fract_z
Si1 Si 0.000 0.000 0.000
Ge1 Ge 0.500 0.500 0.264
Ge2 Ge 0.500 0.500 0.736
Fe1 Fe 0.500 0.000 0.000
Fe2 Fe 0.000 0.500 0.000
Tm1 Tm 0.000 0.000 0.500



No. 2
# U2Fe4Si3Ge | Alexandria via LeMat-Bulk | PBE | relaxed
# Final energy: -81.3 eV per cell
# Calculated volume: 14.54 Å³ per atom
# Total magnetic moment: 0.03 μB/cell
# ΔE_f (raw): -399 meV/atom
data_U2Fe4Si3Ge
_cell_length_a 3.935
_cell_length_b 3.935
_cell_length_c 9.391
_cell_angle_alpha 90.00
_cell_angle_beta 90.00
_cell_angle_gamma 90.00
_space_group_name_H-M_alt 'P 1'
_space_group_IT_number 1
_space_group_name_Hall 'P 1'
loop_
_atom_site_label
_atom_site_type_symbol
_atom_site_fract_x
_atom_site_fract_y
_atom_site_fract_z
Si1 Si 0.000 0.500 0.123
Si2 Si 0.000 0.000 0.500
Si3 Si 0.500 0.000 0.877
Ge1 Ge 0.500 0.500 0.500
U1 U 0.500 0.000 0.241
U2 U 0.000 0.500 0.759
Fe1 Fe 0.000 0.500 0.361
Fe2 Fe 0.500 0.000 0.639
Fe3 Fe 0.500 0.500 0.000
Fe4 Fe 0.000 0.000 0.000



No. 3
# U2Fe5Si2Ge | Alexandria via LeMat-Bulk | PBE | relaxed
# Final energy: -164.4 eV per cell
# Calculated volume: 14.14 Å³ per atom
# Total magnetic moment: 2.09 μB/cell
# ΔE_f (raw): -183 meV/atom
data_U2Fe5Si2Ge
_cell_length_a 3.003
_cell_length_b 9.705
_cell_length_c 9.705
_cell_angle_alpha 90.00
_cell_angle_beta 90.00
_cell_angle_gamma 90.00
_space_group_name_H-M_alt 'P 1'
_space_group_IT_number 1
_space_group_name_Hall 'P 1'
loop_
_atom_site_label
_atom_site_type_symbol
_atom_site_fract_x
_atom_site_fract_y
_atom_site_fract_z
Ge1 Ge 0.000 0.000 0.000
Ge2 Ge 0.000 0.500 0.500
U1 U 0.000 0.825 0.675
U2 U 0.000 0.675 0.175
U3 U 0.000 0.175 0.325
U4 U 0.000 0.325 0.825
Fe1 Fe 0.500 0.712 0.469
Fe2 Fe 0.500 0.531 0.712
Fe3 Fe 0.500 0.969 0.212
Fe4 Fe 0.500 0.031 0.788
Fe5 Fe 0.500 0.469 0.288
Fe6 Fe 0.500 0.500 0.000
Fe7 Fe 0.500 0.000 0.500
Fe8 Fe 0.500 0.788 0.969
Fe9 Fe 0.500 0.212 0.031
Fe10 Fe 0.500 0.288 0.531
Si1 Si 0.000 0.126 0.626
Si2 Si 0.000 0.874 0.374
Si3 Si 0.000 0.626 0.874
Si4 Si 0.000 0.374 0.126



No. 4
# V2Fe7Si2Ge | Alexandria via LeMat-Bulk | PBE | relaxed
# Final energy: -94.3 eV per cell
# Calculated volume: 12.36 Å³ per atom
# Total magnetic moment: 14.85 μB/cell
# ΔE_f (raw): -111 meV/atom
data_V2Fe7Si2Ge
_cell_length_a 3.544
_cell_length_b 3.544
_cell_length_c 12.838
_cell_angle_alpha 73.76
_cell_angle_beta 73.76
_cell_angle_gamma 89.23
_space_group_name_H-M_alt 'P 1'
_space_group_IT_number 1
_space_group_name_Hall 'P 1'
loop_
_atom_site_label
_atom_site_type_symbol
_atom_site_fract_x
_atom_site_fract_y
_atom_site_fract_z
V1 V 0.830 0.830 0.671
V2 V 0.170 0.170 0.329
Si1 Si 0.307 0.307 0.693
Si2 Si 0.693 0.693 0.307
Fe1 Fe 0.500 0.500 0.000
Fe2 Fe 0.660 0.160 0.840
Fe3 Fe 0.269 0.269 0.500
Fe4 Fe 0.160 0.660 0.840
Fe5 Fe 0.340 0.840 0.160
Fe6 Fe 0.731 0.731 0.500
Fe7 Fe 0.840 0.340 0.160
Ge1 Ge 0.000 0.000 0.000



No. 5
# SmFe3Ge3 | Alexandria via LeMat-Bulk | PBE | relaxed
# Final energy: -85.4 eV per cell
# Calculated volume: 19.43 Å³ per atom
# Calculated formation energy: 183 meV per atom
# Energy above the most stable polymorph in this dataset: 443 meV per atom
# Total magnetic moment: 10.28 μB/cell
data_SmFe3Ge3
_cell_length_a 6.480
_cell_length_b 6.480
_cell_length_c 6.480
_cell_angle_alpha 90.00
_cell_angle_beta 90.00
_cell_angle_gamma 90.00
_space_group_name_H-M_alt 'P 1'
_space_group_IT_number 1
_space_group_name_Hall 'P 1'
loop_
_atom_site_label
_atom_site_type_symbol
_atom_site_fract_x
_atom_site_fract_y
_atom_site_fract_z
Ge1 Ge 0.000 0.250 0.500
Ge2 Ge 0.250 0.500 0.000
Ge3 Ge 0.500 0.000 0.750
Ge4 Ge 0.000 0.750 0.500
Ge5 Ge 0.500 0.000 0.250
Ge6 Ge 0.750 0.500 0.000
Fe1 Fe 0.750 0.000 0.500
Fe2 Fe 0.500 0.750 0.000
Fe3 Fe 0.000 0.500 0.750
Fe4 Fe 0.250 0.000 0.500
Fe5 Fe 0.000 0.500 0.250
Fe6 Fe 0.500 0.250 0.000
Sm1 Sm 0.000 0.000 0.000
Sm2 Sm 0.500 0.500 0.500



No. 6
# Sm4FeGe8 | Alexandria via LeMat-Bulk | PBE | relaxed
# Final energy: -72.0 eV per cell
# Calculated volume: 21.48 Å³ per atom
# Calculated formation energy: -594 meV per atom
# Total magnetic moment: 1.45 μB/cell
data_Sm4FeGe8
_cell_length_a 4.060
_cell_length_b 4.216
_cell_length_c 16.315
_cell_angle_alpha 90.00
_cell_angle_beta 90.00
_cell_angle_gamma 90.00
_space_group_name_H-M_alt 'P 1'
_space_group_IT_number 1
_space_group_name_Hall 'P 1'
loop_
_atom_site_label
_atom_site_type_symbol
_atom_site_fract_x
_atom_site_fract_y
_atom_site_fract_z
Ge1 Ge 0.000 0.500 0.243
Ge2 Ge 0.000 0.500 0.948
Ge3 Ge 0.500 0.000 0.555
Ge4 Ge 0.500 0.500 0.051
Ge5 Ge 0.500 0.000 0.241
Ge6 Ge 0.000 0.000 0.748
Ge7 Ge 0.500 0.500 0.753
Ge8 Ge 0.000 0.000 0.454
Sm1 Sm 0.000 0.500 0.605
Sm2 Sm 0.500 0.000 0.896
Sm3 Sm 0.500 0.500 0.397
Sm4 Sm 0.000 0.000 0.103
Fe1 Fe 0.000 0.000 0.309



No. 7
# Sm2FeGe4 | Alexandria via LeMat-Bulk | PBE | relaxed
# Final energy: -40.6 eV per cell
# Calculated volume: 20.35 Å³ per atom
# Calculated formation energy: -600 meV per atom
# Total magnetic moment: 1.11 μB/cell
data_Sm2FeGe4
_cell_length_a 8.249
_cell_length_b 8.249
_cell_length_c 4.198
_cell_angle_alpha 90.00
_cell_angle_beta 90.00
_cell_angle_gamma 150.09
_space_group_name_H-M_alt 'P 1'
_space_group_IT_number 1
_space_group_name_Hall 'P 1'
loop_
_atom_site_label
_atom_site_type_symbol
_atom_site_fract_x
_atom_site_fract_y
_atom_site_fract_z
Ge1 Ge 0.559 0.441 0.500
Ge2 Ge 0.743 0.257 0.000
Ge3 Ge 0.452 0.548 0.000
Ge4 Ge 0.245 0.755 0.500
Sm1 Sm 0.897 0.103 0.500
Sm2 Sm 0.103 0.897 0.000
Fe1 Fe 0.306 0.694 0.000



No. 8
# Sm3Fe2Ge4 | Alexandria via LeMat-Bulk | PBE | relaxed
# Final energy: -55.0 eV per cell
# Calculated volume: 19.84 Å³ per atom
# Calculated formation energy: -610 meV per atom
# Total magnetic moment: 0.02 μB/cell
data_Sm3Fe2Ge4
_cell_length_a 4.242
_cell_length_b 5.830
_cell_length_c 8.142
_cell_angle_alpha 106.56
_cell_angle_beta 90.00
_cell_angle_gamma 111.33
_space_group_name_H-M_alt 'P 1'
_space_group_IT_number 1
_space_group_name_Hall 'P 1'
loop_
_atom_site_label
_atom_site_type_symbol
_atom_site_fract_x
_atom_site_fract_y
_atom_site_fract_z
Fe1 Fe 0.690 0.380 0.366
Fe2 Fe 0.310 0.620 0.634
Ge1 Ge 0.893 0.786 0.598
Ge2 Ge 0.711 0.423 0.085
Ge3 Ge 0.107 0.214 0.402
Ge4 Ge 0.289 0.577 0.915
Sm1 Sm 0.381 0.761 0.306
Sm2 Sm 0.619 0.239 0.694
Sm3 Sm 0.000 0.000 0.000



No. 9
# Sm2Fe3Ge4 | Alexandria via LeMat-Bulk | PBE | relaxed
# Final energy: -113.6 eV per cell
# Calculated volume: 16.99 Å³ per atom
# Calculated formation energy: -392 meV per atom
# Total magnetic moment: 8.90 μB/cell
data_Sm2Fe3Ge4
_cell_length_a 5.515
_cell_length_b 7.431
_cell_length_c 7.954
_cell_angle_alpha 90.00
_cell_angle_beta 110.28
_cell_angle_gamma 90.00
_space_group_name_H-M_alt 'P 1'
_space_group_IT_number 1
_space_group_name_Hall 'P 1'
loop_
_atom_site_label
_atom_site_type_symbol
_atom_site_fract_x
_atom_site_fract_y
_atom_site_fract_z
Ge1 Ge 0.187 0.975 0.375
Ge2 Ge 0.308 0.250 0.115
Ge3 Ge 0.313 0.475 0.625
Ge4 Ge 0.692 0.750 0.885
Ge5 Ge 0.813 0.025 0.625
Ge6 Ge 0.192 0.750 0.885
Ge7 Ge 0.808 0.250 0.115
Ge8 Ge 0.687 0.525 0.375
Fe1 Fe 0.028 0.750 0.555
Fe2 Fe 0.000 0.000 0.000
Fe3 Fe 0.472 0.250 0.445
Fe4 Fe 0.500 0.500 0.000
Fe5 Fe 0.972 0.250 0.445
Fe6 Fe 0.528 0.750 0.555
Sm1 Sm 0.389 0.096 0.778
Sm2 Sm 0.889 0.404 0.778
Sm3 Sm 0.111 0.596 0.222
Sm4 Sm 0.611 0.904 0.222



No. 10
# Sm2Fe3Ge5 | Alexandria via LeMat-Bulk | PBE | relaxed
# Final energy: -125.3 eV per cell
# Calculated volume: 16.90 Å³ per atom
# Calculated formation energy: -472 meV per atom
# Total magnetic moment: 4.22 μB/cell
data_Sm2Fe3Ge5
_cell_length_a 5.655
_cell_length_b 8.326
_cell_length_c 8.326
_cell_angle_alpha 71.66
_cell_angle_beta 70.15
_cell_angle_gamma 70.15
_space_group_name_H-M_alt 'P 1'
_space_group_IT_number 1
_space_group_name_Hall 'P 1'
loop_
_atom_site_label
_atom_site_type_symbol
_atom_site_fract_x
_atom_site_fract_y
_atom_site_fract_z
Ge1 Ge 0.250 0.500 0.500
Ge2 Ge 0.035 0.215 0.215
Ge3 Ge 0.593 0.729 0.084
Ge4 Ge 0.465 0.785 0.785
Ge5 Ge 0.535 0.215 0.215
Ge6 Ge 0.093 0.084 0.729
Ge7 Ge 0.750 0.500 0.500
Ge8 Ge 0.965 0.785 0.785
Ge9 Ge 0.407 0.271 0.916
Ge10 Ge 0.907 0.916 0.271
Sm1 Sm 0.139 0.593 0.130
Sm2 Sm 0.861 0.407 0.870
Sm3 Sm 0.361 0.870 0.407
Sm4 Sm 0.639 0.130 0.593
Fe1 Fe 0.857 0.733 0.554
Fe2 Fe 0.250 0.000 0.000
Fe3 Fe 0.643 0.446 0.267
Fe4 Fe 0.357 0.554 0.733
Fe5 Fe 0.750 0.000 0.000
Fe6 Fe 0.143 0.267 0.446